(1)
## Li3BiS3 (PBE-GGA)

Data for a relaxed Li3BiS3 crystal.

## Properties
Calculated total energy: -113.2 eV for the cell shown
Magnetization: 0.000 μB per formula unit

abc: 16.1517 5.8777 8.3444
angles: 46.14 90.00 90.00
Closest atoms and distances in Å follow each position.
Positions (direct):
S: 0.2476 0.2832 0.4671  4 Li 2.28-2.38
S: 0.2524 0.2832 0.9671  4 Li 2.28-2.38
S: 0.0896 0.7712 0.9970  2 Li 2.54-2.63, 1 Bi 2.71
S: 0.7476 0.7168 0.0329  4 Li 2.28-2.38
S: 0.9183 0.2554 0.4745  4 Li 2.45-2.63, 1 Bi 2.62
S: 0.9104 0.2288 0.0030  2 Li 2.54-2.63, 1 Bi 2.71
S: 0.5817 0.2554 0.9745  4 Li 2.45-2.63, 1 Bi 2.62
S: 0.4183 0.7446 0.0255  4 Li 2.45-2.63, 1 Bi 2.62
S: 0.7524 0.7168 0.5329  4 Li 2.28-2.38
S: 0.0817 0.7446 0.5255  4 Li 2.45-2.63, 1 Bi 2.62
S: 0.5896 0.2288 0.5030  2 Li 2.54-2.63, 1 Bi 2.71
S: 0.4104 0.7712 0.4970  2 Li 2.54-2.63, 1 Bi 2.71
Li: 0.3080 0.3548 0.1809  3 S 2.28-2.45
Li: 0.4286 0.2891 0.9097  3 S 2.51-2.63
Li: 0.1875 0.7863 0.7382  3 S 2.33-2.59
Li: 0.8125 0.2137 0.2618  3 S 2.33-2.59
Li: 0.6875 0.2137 0.7618  3 S 2.33-2.59
Li: 0.6920 0.6452 0.8191  3 S 2.28-2.45
Li: 0.0714 0.2891 0.4097  3 S 2.51-2.63
Li: 0.1920 0.3548 0.6809  3 S 2.28-2.45
Li: 0.3125 0.7863 0.2382  3 S 2.33-2.59
Li: 0.9286 0.7109 0.5903  3 S 2.51-2.63
Li: 0.5714 0.7109 0.0903  3 S 2.51-2.63
Li: 0.8080 0.6452 0.3191  3 S 2.28-2.45
Bi: 0.9123 0.8709 0.9081  4 S 2.62-2.92
Bi: 0.5877 0.8709 0.4081  4 S 2.62-2.92
Bi: 0.0877 0.1291 0.0919  4 S 2.62-2.92
Bi: 0.4123 0.1291 0.5919  4 S 2.62-2.92

(2)
## Li3BiS4 (PBE-GGA)

Data for a relaxed Li3BiS4 crystal.

## Properties
Calculated total energy: -129.2 eV for the cell shown
Magnetization: 0.000 μB per formula unit
Fermi-level density of states: 0.00 states/eV/cell

abc: 7.1779 9.7335 10.1436
angles: 90.00 90.00 90.00
Closest atoms and distances in Å follow each position.
Positions (direct):
Li: 0.3039 0.6072 0.7500  4 S 2.32-2.52
Li: 0.7739 0.7135 0.0898  3 S 2.49-2.54
Li: 0.6961 0.3928 0.2500  4 S 2.32-2.52
Li: 0.8039 0.8928 0.7500  4 S 2.32-2.52
Li: 0.7739 0.7135 0.4102  3 S 2.49-2.54
Li: 0.7261 0.2135 0.5898  3 S 2.49-2.54
Li: 0.2739 0.7865 0.4102  3 S 2.49-2.54
Li: 0.2261 0.2865 0.5898  3 S 2.49-2.54
Li: 0.2261 0.2865 0.9102  3 S 2.49-2.54
Li: 0.7261 0.2135 0.9102  3 S 2.49-2.54
Li: 0.2739 0.7865 0.0898  3 S 2.49-2.54
Li: 0.1961 0.1072 0.2500  4 S 2.32-2.52
S: 0.4606 0.1976 0.7500  4 Li 2.49-2.51, 1 Bi 2.60
S: 0.3579 0.5180 0.9800  1 S 2.11
S: 0.1421 0.0180 0.0200  1 S 2.11
S: 0.3579 0.5180 0.5200  1 S 2.11
S: 0.5050 0.8022 0.7500  2 Li 2.32-2.38, 1 Bi 2.51
S: 0.0050 0.6978 0.7500  2 Li 2.32-2.38, 1 Bi 2.51
S: 0.9606 0.3024 0.7500  4 Li 2.49-2.51, 1 Bi 2.60
S: 0.8579 0.9820 0.9800  1 S 2.11
S: 0.9950 0.3022 0.2500  2 Li 2.32-2.38, 1 Bi 2.51
S: 0.0394 0.6976 0.2500  4 Li 2.49-2.51, 1 Bi 2.60
S: 0.5394 0.8024 0.2500  4 Li 2.49-2.51, 1 Bi 2.60
S: 0.8579 0.9820 0.5200  1 S 2.11
S: 0.1421 0.0180 0.4800  1 S 2.11
S: 0.4950 0.1978 0.2500  2 Li 2.32-2.38, 1 Bi 2.51
S: 0.6421 0.4820 0.0200  1 S 2.11
S: 0.6421 0.4820 0.4800  1 S 2.11
Bi: 0.7488 0.0209 0.2500  2 S 2.51-2.60
Bi: 0.2488 0.4791 0.2500  2 S 2.51-2.60
Bi: 0.2512 0.9791 0.7500  2 S 2.51-2.60
Bi: 0.7512 0.5209 0.7500  2 S 2.51-2.60

(3)
## LiBiS3 (PBE-GGA)

Data for a relaxed LiBiS3 crystal.

## Properties
Calculated total energy: -17.4 eV for the cell shown
Magnetization: 0.000 μB per formula unit
Fermi-level density of states: 4.65 states/eV/cell

abc: 5.2367 5.2367 5.2367
angles: 90.00 90.00 90.00
Closest atoms and distances in Å follow each position.
Positions (direct):
Li: 0.5000 0.5000 0.5000  12 S 3.70
S: 0.0000 0.5000 0.0000  2 Bi 2.62
S: 0.5000 0.0000 0.0000  2 Bi 2.62
S: 0.0000 0.0000 0.5000  2 Bi 2.62
Bi: 0.0000 0.0000 0.0000  6 S 2.62